(1)
VASP calculation (PBE) on a relaxed ReMoAsPb2 crystal.

Total energy: -29.578 eV/f.u.
Total magnetization: 0.326 μB per atom
Crystal system: tetragonal

a b c (Å): 5.259 5.259 4.908
angles (deg): 90.00 90.00 90.00
Space group P4/mmm (No. 123)
Symmetry-distinct sites (fractional):
Re (0.000, 0.000, 0.000) (multiplicity 1)
Mo (0.000, 0.000, 0.500) (multiplicity 1)
As (0.500, 0.500, 0.500) (multiplicity 1)
Pb (0.000, 0.500, 0.000) (multiplicity 2)

---

(2)
VASP calculation (PBE) on a relaxed MoAsRuPb2 crystal.

Total energy: -25.624 eV/f.u.
Total magnetization: 0.717 μB per atom
Crystal system: tetragonal

a b c (Å): 5.491 5.491 4.541
angles (deg): 90.00 90.00 90.00
Space group P4/mmm (No. 123)
Symmetry-distinct sites (fractional):
Mo (0.000, 0.000, 0.000) (multiplicity 1)
As (0.500, 0.500, 0.500) (multiplicity 1)
Ru (0.500, 0.500, 0.000) (multiplicity 1)
Pb (0.000, 0.500, 0.500) (multiplicity 2)